(1)
This record from Alexandria describes a relaxed structure of LiLa2Tc. The functional is GGA-PBE.

abc: 7.0693 7.0693 7.0693
angles: 90.00 90.00 90.00
Closest atoms and distances in Å follow each position.
Space group F-43m (No. 216)
Symmetry-distinct sites (fractional):
Li  0.0000  0.0000  0.0000 [4 per cell]  4 La 3.06, 4 Tc 3.06
La  0.0000  0.0000  0.5000 [4 per cell]  4 Tc 3.06, 4 La 3.06
La  0.2500  0.2500  0.7500 [4 per cell]  4 La 3.06, 4 Li 3.06
Tc  0.2500  0.2500  0.2500 [4 per cell]  4 La 3.06, 4 Li 3.06

***

(2)
This record from Alexandria describes a relaxed structure of LiLaTc2. The functional is GGA-PBE.

abc: 3.1521 4.7439 9.4936
angles: 90.00 90.00 90.00
Closest atoms and distances in Å follow each position.
Space group Cmmm (No. 65)
Symmetry-distinct sites (fractional):
Li  0.0000  0.0000  0.0000 [2 per cell]  4 Tc 2.72, 4 Li 2.85
La  0.0000  0.0000  0.5000 [2 per cell]  6 La 2.85-3.15, 4 Tc 2.98
Tc  0.0000  0.5000  0.2339 [4 per cell]  2 Li 2.72, 4 Tc 2.85, 2 La 2.98

***

(3)
This record from Alexandria describes a relaxed structure of LiLaTc2. The functional is GGA-PBE.

abc: 2.7139 2.7139 9.6075
angles: 90.00 90.00 90.00
Closest atoms and distances in Å follow each position.
Space group P4/mmm (No. 123)
Symmetry-distinct sites (fractional):
Li  0.0000  0.0000  0.0000 [1 per cell]  4 Li 2.71, 8 Tc 2.87
La  0.0000  0.0000  0.5000 [1 per cell]  4 La 2.71
Tc  0.5000  0.5000  0.2219 [2 per cell]  4 Tc 2.71, 4 Li 2.87

***

| no. | uncorrected energy (eV for the cell shown) | DOS(E_F) (states/eV/cell) |
| --- | --- | --- |
| 1 | -83.3 | 16.7 |
| 2 | -49.8 | 9.7 |
| 3 | -25.0 | 3.1 |